InCo2Rh | PBE-GGA | optimized geometry

Cell: 4.553 4.553 2.827 Å, 90.00 90.00 106.18°
Element x y z (fractional)
In1 0.000 0.000 0.000
Co1 0.000 0.500 0.500
Co2 0.500 0.000 0.500
Rh1 0.500 0.500 0.000

Properties
Magnetization in μB/f.u.: 3.081
Formation energy from the elements in eV/atom: 0.184
Volume in A^3/atom: 14.07


Sm2Y3Mg3 | PBE-GGA | optimized geometry

Cell: 11.761 11.761 11.761 Å, 161.37 153.26 32.80°
Element x y z (fractional)
Sm1 0.234 0.234 0.000
Sm2 0.766 0.766 0.000
Y1 0.000 0.000 0.000
Y2 0.377 0.877 0.500
Y3 0.623 0.123 0.500
Mg1 0.115 0.615 0.500
Mg2 0.500 0.500 0.000
Mg3 0.885 0.385 0.500

Properties
Magnetization in μB/f.u.: 0.000
Formation energy from the elements in eV/atom: -0.075
Volume in A^3/atom: 29.21


ZnGa3Pd | PBE-GGA | optimized geometry

Cell: 6.054 6.054 6.385 Å, 117.16 117.16 85.87°
Element x y z (fractional)
Zn1 0.060 0.060 0.350
Zn2 0.940 0.940 0.650
Ga1 0.016 0.392 0.153
Ga2 0.392 0.016 0.153
Ga3 0.426 0.426 0.619
Ga4 0.574 0.574 0.381
Ga5 0.608 0.984 0.847
Ga6 0.984 0.608 0.847
Pd1 0.295 0.295 0.885
Pd2 0.705 0.705 0.115

Properties
Distance to the lowest polymorph of the same formula in meV per atom: 13
Magnetization in μB/f.u.: 0.000
Formation energy from the elements in eV/atom: -0.190
Volume in A^3/atom: 18.25